1 | Compound: Li2Mg2Sb
Source: Alexandria
Functional: GGA-PBE
Structure: optimized geometry

Symmetry   No. 127
Density   2.936 g cm⁻³

abc: 6.845 6.845 4.448
angles: 90.00 90.00 90.00
Element x y z (fractional)
1 Li 0.363 0.863 0.000
2 Mg 0.666 0.834 0.500
3 Li 0.863 0.637 0.000
4 Li 0.637 0.137 0.000
5 Mg 0.334 0.166 0.500
6 Mg 0.834 0.334 0.500
7 Sb 0.500 0.500 0.000
8 Mg 0.166 0.666 0.500
9 Li 0.137 0.363 0.000
10 Sb 0.000 0.000 0.000

***

2 | Compound: Li2Mg2Sb
Source: Alexandria
Functional: GGA-PBE
Structure: optimized geometry

Symmetry   No. 139
Density   2.732 g cm⁻³

abc: 4.017 4.017 7.498
angles: 74.46 74.46 90.00
Element x y z (fractional)
1 Li 0.412 0.412 0.177
2 Mg 0.250 0.750 0.500
3 Sb 0.000 0.000 0.000
4 Mg 0.750 0.250 0.500
5 Li 0.588 0.588 0.823

***

3 | Compound: Li2Mg2Sb
Source: Alexandria
Functional: GGA-PBE
Structure: optimized geometry

Symmetry   No. 127
Density   2.792 g cm⁻³

abc: 7.965 7.965 3.454
angles: 90.00 90.00 90.00
Element x y z (fractional)
1 Li 0.341 0.159 0.500
2 Li 0.841 0.341 0.500
3 Sb 0.000 0.000 0.000
4 Mg 0.364 0.864 0.000
5 Li 0.159 0.659 0.500
6 Li 0.659 0.841 0.500
7 Mg 0.136 0.364 0.000
8 Mg 0.864 0.636 0.000
9 Sb 0.500 0.500 0.000
10 Mg 0.636 0.136 0.000

***

Of the structures shown above, 2 is the least stable.